# SCAN Y2AgP, PBEsol geometry
# energy of formation from the pure elements	-0.88	eV per atom
# space-group type	P4/mmm (123)
# magnetic moment	0.18	μB per atom
# total energy	-100.965	eV/cell
# DOS at the Fermi energy	0.64	states/eV per atom
data_Y2AgP
_space_group_name_H-M_alt 'P 1'
_space_group_IT_number 1
_cell_length_a 4.0624
_cell_length_b 4.0624
_cell_length_c 5.7404
_cell_angle_alpha 90.00
_cell_angle_beta 90.00
_cell_angle_gamma 90.00
loop_
_space_group_symop_operation_xyz
'x,y,z'
loop_
_atom_site_label
_atom_site_fract_x
_atom_site_fract_y
_atom_site_fract_z
Y1 0.6245 0.6245 0.5000
Y2 0.1247 0.1247 0.0000
P1 0.1245 0.1245 0.5000
Ag1 0.6246 0.6246 0.0000



# SCAN PbS2F, PBEsol geometry
# formation energy without anion corrections	-699	meV per atom
# space-group type	I-42d (122)
# magnetic moment	0.00	μB per atom
# total energy	-202.750	eV/cell
# DOS at the Fermi energy	0.62	states/eV per atom
data_PbS2F
_space_group_name_H-M_alt 'P 1'
_space_group_IT_number 1
_cell_length_a 4.4637
_cell_length_b 6.6629
_cell_length_c 6.6629
_cell_angle_alpha 83.56
_cell_angle_beta 70.43
_cell_angle_gamma 70.43
loop_
_space_group_symop_operation_xyz
'x,y,z'
loop_
_atom_site_label
_atom_site_fract_x
_atom_site_fract_y
_atom_site_fract_z
S1 0.6634 0.9616 0.4616
S2 0.0866 0.0384 0.5384
S3 0.3750 0.5384 0.9616
S4 0.8750 0.4616 0.0384
Pb1 0.7500 0.5000 0.5000
Pb2 0.0000 0.0000 0.0000
F1 0.5000 0.0000 0.0000
F2 0.2500 0.5000 0.5000